(1)
DFT (GGA-PBE) results for a relaxed Ta2TcMo2 crystal.

abc: 3.426 3.426 8.078
angles: 77.76 77.76 90.00
Positions (direct):
Mo1 0.750 0.250 0.500
Mo2 0.250 0.750 0.500
Tc1 0.000 0.000 0.000
Ta1 0.404 0.404 0.191
Ta2 0.596 0.596 0.809

Results
- Formation energy: 623 meV/atom
- Electronic total energy: -10.52 eV per atom
- Crystal system: tetragonal
- V: 90.4 Å³/f.u.


(2)
DFT (GGA-PBE) results for a relaxed Ti2Ir2Rh crystal.

abc: 7.317 7.317 2.915
angles: 90.00 90.00 90.00
Positions (direct):
Ir1 0.141 0.641 0.500
Ir2 0.641 0.859 0.500
Ir3 0.859 0.359 0.500
Ir4 0.359 0.141 0.500
Rh1 0.000 0.000 0.000
Rh2 0.500 0.500 0.000
Ti1 0.342 0.842 0.000
Ti2 0.842 0.658 0.000
Ti3 0.658 0.158 0.000
Ti4 0.158 0.342 0.000

Results
- Formation energy: -523 meV/atom
- Electronic total energy: -8.70 eV per atom
- Crystal system: tetragonal
- V: 78.0 Å³/f.u.


(3)
DFT (GGA-PBE) results for a relaxed SrSb2Pb crystal.

abc: 8.888 8.888 8.888
angles: 28.33 28.33 28.33
Positions (direct):
Pb1 0.750 0.750 0.750
Sb1 0.007 0.007 0.007
Sb2 0.493 0.493 0.493
Sr1 0.250 0.250 0.250

Results
- Electronic total energy: -3.69 eV per atom
- Crystal system: trigonal
- V: 139.7 Å³/f.u.


Question: V of number 2 (Ti2Ir2Rh)?
Answer: 78.0 Å³/f.u.


Question: Which of these has the lowest V?
Answer: Ti2Ir2Rh


Question: Which of these has the highest electronic total energy?
Answer: SrSb2Pb


Question: Which value of electronic total energy does entry 1 give?
Answer: -10.52 eV per atom